Record 1
First-principles (PBE) data for PmTaPt after structural relaxation, as listed in Alexandria via LeMat-Bulk.

Values from the calculation:
DFT total energy, eV for the cell shown: -95.86

a = 3.295 Å, b = 3.295 Å, c = 24.879 Å
α = 90.00°, β = 90.00°, γ = 90.00°
Space group I4/mmm (No. 139)
Symmetry-distinct sites (fractional):
Pm 0.000 0.000 0.072 x4
Ta 0.000 0.000 0.214 x4
Pt 0.000 0.000 0.344 x4

Record 2
First-principles (PBE) data for In2AgPd2 after structural relaxation, as listed in Alexandria via LeMat-Bulk.

Values from the calculation:
ΔE to the lowest computed polymorph, meV/atom: 28
DFT total energy, eV for the cell shown: -81.57

a = 4.343 Å, b = 14.952 Å, c = 5.715 Å
α = 90.00°, β = 90.00°, γ = 90.00°
Space group Cmc2_1 (No. 36)
Symmetry-distinct sites (fractional):
In 0.000 0.072 0.000 x4
In 0.000 0.289 0.199 x4
Ag 0.000 0.121 0.488 x4
Pd 0.000 0.328 0.681 x4
Pd 0.000 0.479 0.226 x4

Record 3
First-principles (PBE) data for MgCdSnO2 after structural relaxation, as listed in Alexandria via LeMat-Bulk.

Values from the calculation:
DFT total energy, eV for the cell shown: -18.16
Uncorrected formation energy, meV per atom: -345

a = 4.086 Å, b = 4.086 Å, c = 6.296 Å
α = 90.00°, β = 90.00°, γ = 90.00°
Space group P4/mmm (No. 123)
Symmetry-distinct sites (fractional):
Mg 0.000 0.000 0.000 x1
Cd 0.500 0.500 0.000 x1
Sn 0.000 0.000 0.500 x1
O 0.000 0.500 0.500 x2

Record 4
First-principles (PBE) data for Ce2CdFe after structural relaxation, as listed in Alexandria via LeMat-Bulk.

Values from the calculation:
ΔE to the lowest computed polymorph, meV/atom: 283
DFT total energy, eV for the cell shown: -61.18

a = 3.7125 Å, b = 3.7125 Å, c = 29.1210 Å
α = 90.00°, β = 90.00°, γ = 120.00°
Space group R-3m (No. 166, hexagonal axes)
Symmetry-distinct sites (fractional):
Ce 0.0000 0.0000 0.1158 x6
Cd 0.0000 0.0000 0.0000 x3
Fe 0.0000 0.0000 0.5000 x3

Record 5
First-principles (PBE) data for LiAuBr2 after structural relaxation, as listed in Alexandria via LeMat-Bulk.

Values from the calculation:
ΔE to the lowest computed polymorph, meV/atom: 144
DFT total energy, eV for the cell shown: -22.18
Uncorrected formation energy, meV per atom: -638

a = 4.650 Å, b = 6.739 Å, c = 7.200 Å
α = 90.00°, β = 90.00°, γ = 90.00°
Space group Cmm2 (No. 35)
Symmetry-distinct sites (fractional):
Li 0.000 0.000 0.000 x2
Au 0.000 0.500 0.770 x2
Br 0.000 0.000 0.608 x2
Br 0.000 0.500 0.137 x2

Record 6
First-principles (PBE) data for Sr3SiP3 after structural relaxation, as listed in Alexandria via LeMat-Bulk.

Values from the calculation:
DFT total energy, eV for the cell shown: -262.54
Uncorrected formation energy, meV per atom: -874

a = 18.731 Å, b = 6.358 Å, c = 12.377 Å
α = 90.00°, β = 90.00°, γ = 90.00°
Space group Cmce (No. 64)
Symmetry-distinct sites (fractional):
Sr 0.000 0.173 0.149 x8
Sr 0.177 0.178 0.867 x16
Si 0.086 0.000 0.500 x8
P 0.000 0.194 0.399 x8
P 0.157 0.190 0.616 x16